Density functional theory data (PBE) for a relaxed structure of Zr4SiPbN2.

Lattice parameters (Å, degrees): 3.3113 3.3113 14.1497 90.00 90.00 120.00
Atoms (fractional coordinates):
Zr (0.0000, 0.0000, 0.3542)
Zr (0.0000, 0.0000, 0.6458)
Zr (0.6667, 0.3333, 0.1767)
Zr (0.6667, 0.3333, 0.8233)
Si (0.6667, 0.3333, 0.5000)
Pb (0.0000, 0.0000, 0.0000)
N (0.3333, 0.6667, 0.2648)
N (0.3333, 0.6667, 0.7352)

Calculated values
- energy (eV/atom) = -8.536
- calculated density (g cm⁻³) = 7.764
- symmetry = P-6m2, No. 187

Density functional theory data (PBE) for a relaxed structure of Tm4SnPbN2.

Lattice parameters (Å, degrees): 3.4822 3.4822 15.2166 90.00 90.00 120.00
Atoms (fractional coordinates):
Tm (0.0000, 0.0000, 0.3372)
Tm (0.0000, 0.0000, 0.6628)
Tm (0.6667, 0.3333, 0.8309)
Tm (0.6667, 0.3333, 0.1691)
Pb (0.0000, 0.0000, 0.0000)
N (0.3333, 0.6667, 0.7478)
N (0.3333, 0.6667, 0.2522)
Sn (0.6667, 0.3333, 0.5000)

Calculated values
- energy (eV/atom) = -6.444
- calculated density (g cm⁻³) = 10.700
- symmetry = P-6m2, No. 187

Density functional theory data (PBE) for a relaxed structure of SnPbW4N2.

Lattice parameters (Å, degrees): 3.3292 3.3292 13.0045 90.00 90.00 120.00
Atoms (fractional coordinates):
Pb (0.0000, 0.0000, 0.0000)
N (0.3333, 0.6667, 0.7511)
N (0.3333, 0.6667, 0.2489)
W (0.0000, 0.0000, 0.3301)
W (0.6667, 0.3333, 0.1820)
W (0.6667, 0.3333, 0.8180)
W (0.0000, 0.0000, 0.6699)
Sn (0.6667, 0.3333, 0.5000)

Calculated values
- energy (eV/atom) = -9.045
- calculated density (g cm⁻³) = 14.491
- symmetry = P-6m2, No. 187

Density functional theory data (PBE) for a relaxed structure of Ta4PbN3.

Lattice parameters (Å, degrees): 3.1460 3.1460 24.8603 90.00 90.00 120.00
Atoms (fractional coordinates):
Ta (0.0000, 0.0000, 0.8489)
Ta (0.0000, 0.0000, 0.1511)
Ta (0.0000, 0.0000, 0.3489)
Ta (0.0000, 0.0000, 0.6511)
Ta (0.6667, 0.3333, 0.9501)
Ta (0.3333, 0.6667, 0.4501)
Ta (0.6667, 0.3333, 0.5499)
Ta (0.3333, 0.6667, 0.0499)
N (0.0000, 0.0000, 0.5000)
N (0.3333, 0.6667, 0.8989)
N (0.6667, 0.3333, 0.3989)
N (0.0000, 0.0000, 0.0000)
N (0.6667, 0.3333, 0.1011)
N (0.3333, 0.6667, 0.6011)
Pb (0.6667, 0.3333, 0.7500)
Pb (0.3333, 0.6667, 0.2500)

Calculated values
- energy (eV/atom) = -9.989
- calculated density (g cm⁻³) = 15.165
- symmetry = P6_3/mmc, No. 194

Density functional theory data (PBE) for a relaxed structure of Ta2Pb3N6.

Lattice parameters (Å, degrees): 10.9980 10.9980 10.9980 159.19 159.19 29.60
Atoms (fractional coordinates):
N (0.5767, 0.0767, 0.5000)
N (0.0767, 0.5767, 0.5000)
N (0.4233, 0.9233, 0.5000)
N (0.6934, 0.6934, 0.0000)
N (0.9233, 0.4233, 0.5000)
N (0.3066, 0.3066, 0.0000)
Ta (0.6031, 0.6031, 0.0000)
Ta (0.3969, 0.3969, 0.0000)
Pb (0.8078, 0.8078, 0.0000)
Pb (0.0000, 0.0000, 0.0000)
Pb (0.1922, 0.1922, 0.0000)

Calculated values
- energy (eV/atom) = -7.715
- calculated density (g cm⁻³) = 10.564
- symmetry = I4/mmm, No. 139

Density functional theory data (PBE) for a relaxed structure of Ta4TlPbN2.

Lattice parameters (Å, degrees): 3.2749 3.2749 13.9097 90.00 90.00 120.00
Atoms (fractional coordinates):
Tl (0.0000, 0.0000, 0.0000)
Ta (0.6667, 0.3333, 0.1710)
Ta (0.0000, 0.0000, 0.3273)
Ta (0.6667, 0.3333, 0.8290)
Ta (0.0000, 0.0000, 0.6727)
N (0.3333, 0.6667, 0.7500)
N (0.3333, 0.6667, 0.2500)
Pb (0.6667, 0.3333, 0.5000)

Calculated values
- energy (eV/atom) = -8.981
- calculated density (g cm⁻³) = 14.953
- symmetry = P-6m2, No. 187

Density functional theory data (PBE) for a relaxed structure of Ta4Pb3W2N3.

Lattice parameters (Å, degrees): 5.7587 5.7587 14.0825 100.71 100.71 59.60
Atoms (fractional coordinates):
N (0.6636, 0.1562, 0.0077)
N (0.1562, 0.6636, 0.5077)
N (0.8438, 0.3364, 0.4923)
N (0.0000, 0.5000, 0.0000)
N (0.5000, 0.0000, 0.5000)
N (0.3364, 0.8438, 0.9923)
Pb (0.0768, 0.9232, 0.2500)
Pb (0.4098, 0.2546, 0.2452)
Pb (0.5902, 0.7454, 0.7548)
Pb (0.2546, 0.4098, 0.7452)
Pb (0.7454, 0.5902, 0.2548)
Pb (0.9232, 0.0768, 0.7500)
W (0.4477, 0.6201, 0.4203)
W (0.5523, 0.3799, 0.5797)
W (0.3799, 0.5523, 0.0797)
W (0.6201, 0.4477, 0.9203)
Ta (0.1746, 0.3017, 0.4252)
Ta (0.3017, 0.1746, 0.9252)
Ta (0.7929, 0.0022, 0.4262)
Ta (0.2071, 0.9978, 0.5738)
Ta (0.0022, 0.7929, 0.9262)
Ta (0.6983, 0.8254, 0.0748)
Ta (0.9978, 0.2071, 0.0738)
Ta (0.8254, 0.6983, 0.5748)

Calculated values
- energy (eV/atom) = -9.056
- calculated density (g cm⁻³) = 14.815
- symmetry = C2/c, No. 15

Density functional theory data (PBE) for a relaxed structure of Ta2Pb3W4N3.

Lattice parameters (Å, degrees): 5.8766 5.8766 13.7409 102.74 102.74 59.45
Atoms (fractional coordinates):
Ta (0.6558, 0.4727, 0.9290)
Ta (0.3442, 0.5273, 0.0710)
Ta (0.5273, 0.3442, 0.5710)
Ta (0.4727, 0.6558, 0.4290)
N (0.1709, 0.6645, 0.5030)
N (0.8291, 0.3355, 0.4970)
N (0.6645, 0.1709, 0.0030)
N (0.5000, 0.0000, 0.5000)
N (0.3355, 0.8291, 0.9970)
N (0.0000, 0.5000, 0.0000)
Pb (0.9201, 0.0799, 0.7500)
Pb (0.5832, 0.7485, 0.7485)
Pb (0.7485, 0.5832, 0.2485)
Pb (0.4168, 0.2515, 0.2515)
Pb (0.0799, 0.9201, 0.2500)
Pb (0.2515, 0.4168, 0.7515)
W (0.6840, 0.8648, 0.0708)
W (0.1352, 0.3160, 0.4292)
W (0.8231, 0.9583, 0.4310)
W (0.0417, 0.1769, 0.0690)
W (0.8648, 0.6840, 0.5708)
W (0.1769, 0.0417, 0.5690)
W (0.3160, 0.1352, 0.9292)
W (0.9583, 0.8231, 0.9310)

Calculated values
- energy (eV/atom) = -8.987
- calculated density (g cm⁻³) = 14.795
- symmetry = C2/c, No. 15

Density functional theory data (PBE) for a relaxed structure of Ta4ZnPbN2.

Lattice parameters (Å, degrees): 3.1832 3.1832 13.8074 90.00 90.00 120.00
Atoms (fractional coordinates):
N (0.3333, 0.6667, 0.7384)
N (0.3333, 0.6667, 0.2616)
Ta (0.0000, 0.0000, 0.1780)
Ta (0.0000, 0.0000, 0.8220)
Ta (0.6667, 0.3333, 0.3455)
Ta (0.6667, 0.3333, 0.6545)
Pb (0.6667, 0.3333, 0.0000)
Zn (0.0000, 0.0000, 0.5000)

Calculated values
- energy (eV/atom) = -8.933
- calculated density (g cm⁻³) = 14.040
- symmetry = P-6m2, No. 187

Density functional theory data (PBE) for a relaxed structure of Zr4Ta2Pb3N3.

Lattice parameters (Å, degrees): 5.8953 5.8954 14.4494 90.06 101.74 119.93
Atoms (fractional coordinates):
Pb (0.3341, 0.2623, 0.7508)
Pb (0.9885, 0.4167, 0.2508)
Pb (0.0115, 0.5833, 0.7492)
Pb (0.3461, 0.0961, 0.2500)
Pb (0.6539, 0.9039, 0.7500)
Pb (0.6659, 0.7377, 0.2492)
Zr (0.2194, 0.6945, 0.0820)
Zr (0.5526, 0.1924, 0.5820)
Zr (0.8875, 0.8626, 0.5820)
Zr (0.7806, 0.3055, 0.9180)
Zr (0.8895, 0.0294, 0.0819)
Zr (0.4474, 0.8076, 0.4180)
Zr (0.1105, 0.9706, 0.9181)
Zr (0.1125, 0.1374, 0.4180)
Ta (0.5471, 0.3553, 0.0711)
Ta (0.7842, 0.4760, 0.4289)
Ta (0.2158, 0.5240, 0.5711)
Ta (0.4529, 0.6447, 0.9289)
N (0.5000, 0.0000, 0.0000)
N (0.5000, 0.5000, 0.5000)
N (0.1630, 0.8265, 0.5000)
N (0.8265, 0.6631, 0.0000)
N (0.8370, 0.1735, 0.5000)
N (0.1735, 0.3369, 0.0000)

Calculated values
- energy (eV/atom) = -8.541
- calculated density (g cm⁻³) = 10.916
- symmetry = C2/c, No. 15

Density functional theory data (PBE) for a relaxed structure of Zr2Ta4Pb3N3.

Lattice parameters (Å, degrees): 5.8476 5.8476 14.1700 101.95 101.95 60.04
Atoms (fractional coordinates):
Pb (0.4165, 0.2341, 0.7500)
Pb (0.9330, 0.0670, 0.2500)
Pb (0.0670, 0.9331, 0.7500)
Pb (0.5835, 0.7659, 0.2500)
Pb (0.2341, 0.4165, 0.2500)
Pb (0.7659, 0.5835, 0.7500)
Zr (0.3616, 0.5284, 0.5861)
Zr (0.6384, 0.4716, 0.4139)
Zr (0.4716, 0.6384, 0.9139)
Zr (0.5284, 0.3616, 0.0861)
N (0.0000, 0.5000, 0.5000)
N (0.8329, 0.3333, 0.0000)
N (0.1671, 0.6667, 0.0000)
N (0.5000, 0.0000, 0.0000)
N (0.3333, 0.8329, 0.5000)
N (0.6667, 0.1671, 0.5000)
Ta (0.8100, 0.9736, 0.9266)
Ta (0.8593, 0.6912, 0.0733)
Ta (0.1900, 0.0264, 0.0734)
Ta (0.6912, 0.8593, 0.5733)
Ta (0.0264, 0.1900, 0.5734)
Ta (0.9736, 0.8100, 0.4266)
Ta (0.1407, 0.3088, 0.9267)
Ta (0.3088, 0.1407, 0.4267)

Calculated values
- energy (eV/atom) = -8.843
- calculated density (g cm⁻³) = 12.791
- symmetry = C2/c, No. 15

Density functional theory data (PBE) for a relaxed structure of TbTmPbN.

Lattice parameters (Å, degrees): 3.5285 3.5285 15.5338 90.00 90.00 120.00
Atoms (fractional coordinates):
Tb (0.3333, 0.6667, 0.0849)
Tb (0.6667, 0.3333, 0.9151)
N (0.0000, 0.0000, 0.0000)
N (0.0000, 0.0000, 0.5000)
Pb (0.6667, 0.3333, 0.2539)
Pb (0.3333, 0.6667, 0.7461)
Tm (0.3333, 0.6667, 0.4185)
Tm (0.6667, 0.3333, 0.5815)

Calculated values
- energy (eV/atom) = -6.386
- calculated density (g cm⁻³) = 10.887
- symmetry = P-3m1, No. 164

Density functional theory data (PBE) for a relaxed structure of TbTmPbN.

Lattice parameters (Å, degrees): 3.5272 3.5272 15.5457 90.00 90.00 120.00
Atoms (fractional coordinates):
N (0.0000, 0.0000, 0.2573)
N (0.0000, 0.0000, 0.7427)
Tb (0.3333, 0.6667, 0.8314)
Tb (0.3333, 0.6667, 0.1686)
Pb (0.3333, 0.6667, 0.5000)
Pb (0.6667, 0.3333, 0.0000)
Tm (0.6667, 0.3333, 0.6650)
Tm (0.6667, 0.3333, 0.3350)

Calculated values
- energy (eV/atom) = -6.388
- calculated density (g cm⁻³) = 10.887
- symmetry = P-6m2, No. 187

Density functional theory data (PBE) for a relaxed structure of TbYPbN.

Lattice parameters (Å, degrees): 3.5624 3.5624 15.6670 90.00 90.00 120.00
Atoms (fractional coordinates):
Y (0.3333, 0.6667, 0.4167)
Y (0.6667, 0.3333, 0.5833)
Pb (0.3333, 0.6667, 0.7495)
Pb (0.6667, 0.3333, 0.2505)
N (0.0000, 0.0000, 0.5000)
N (0.0000, 0.0000, 0.0000)
Tb (0.6667, 0.3333, 0.9163)
Tb (0.3333, 0.6667, 0.0837)

Calculated values
- energy (eV/atom) = -6.879
- calculated density (g cm⁻³) = 9.047
- symmetry = P-3m1, No. 164

Density functional theory data (PBE) for a relaxed structure of TbY3Pb2N2.

Lattice parameters (Å, degrees): 3.5611 3.5611 15.6380 90.00 90.00 120.00
Atoms (fractional coordinates):
Y (0.3333, 0.6667, 0.9163)
Y (0.0000, 0.0000, 0.4167)
Y (0.3333, 0.6667, 0.5835)
Tb (0.0000, 0.0000, 0.0835)
Pb (0.0000, 0.0000, 0.7499)
Pb (0.3333, 0.6667, 0.2504)
N (0.6667, 0.3333, 0.9997)
N (0.6667, 0.3333, 0.5001)

Calculated values
- energy (eV/atom) = -7.112
- calculated density (g cm⁻³) = 8.393
- symmetry = P3m1, No. 156

Density functional theory data (PBE) for a relaxed structure of TbYPbN.

Lattice parameters (Å, degrees): 3.5624 3.5624 15.6654 90.00 90.00 120.00
Atoms (fractional coordinates):
Y (0.6667, 0.3333, 0.3337)
Y (0.6667, 0.3333, 0.6663)
Tb (0.3333, 0.6667, 0.8333)
Tb (0.3333, 0.6667, 0.1667)
N (0.0000, 0.0000, 0.2503)
N (0.0000, 0.0000, 0.7497)
Pb (0.3333, 0.6667, 0.5000)
Pb (0.6667, 0.3333, 0.0000)

Calculated values
- energy (eV/atom) = -6.879
- calculated density (g cm⁻³) = 9.047
- symmetry = P-6m2, No. 187

Density functional theory data (PBE) for a relaxed structure of Tm4TlPbN2.

Lattice parameters (Å, degrees): 3.4841 3.4841 15.3974 90.00 90.00 120.00
Atoms (fractional coordinates):
Tm (0.0000, 0.0000, 0.3338)
Tm (0.0000, 0.0000, 0.6662)
Tm (0.6667, 0.3333, 0.8331)
Tm (0.6667, 0.3333, 0.1669)
N (0.3333, 0.6667, 0.2489)
N (0.3333, 0.6667, 0.7511)
Tl (0.6667, 0.3333, 0.5000)
Pb (0.0000, 0.0000, 0.0000)

Calculated values
- energy (eV/atom) = -6.156
- calculated density (g cm⁻³) = 11.442
- symmetry = P-6m2, No. 187

Density functional theory data (PBE) for a relaxed structure of TlPbW4N2.

Lattice parameters (Å, degrees): 3.3507 3.3507 13.1599 90.00 90.00 120.00
Atoms (fractional coordinates):
N (0.3333, 0.6667, 0.7496)
N (0.3333, 0.6667, 0.2504)
Pb (0.0000, 0.0000, 0.0000)
W (0.0000, 0.0000, 0.3222)
W (0.6667, 0.3333, 0.1817)
W (0.6667, 0.3333, 0.8183)
W (0.0000, 0.0000, 0.6778)
Tl (0.6667, 0.3333, 0.5000)

Calculated values
- energy (eV/atom) = -8.778
- calculated density (g cm⁻³) = 15.248
- symmetry = P-6m2, No. 187

Density functional theory data (PBE) for a relaxed structure of Zr4TlPbN2.

Lattice parameters (Å, degrees): 3.3331 3.3331 14.9815 90.00 90.00 120.00
Atoms (fractional coordinates):
N (0.6667, 0.3333, 0.7477)
N (0.6667, 0.3333, 0.2523)
Zr (0.0000, 0.0000, 0.6668)
Zr (0.0000, 0.0000, 0.3332)
Zr (0.3333, 0.6667, 0.8322)
Zr (0.3333, 0.6667, 0.1678)
Pb (0.0000, 0.0000, 0.0000)
Tl (0.3333, 0.6667, 0.5000)

Calculated values
- energy (eV/atom) = -8.078
- calculated density (g cm⁻³) = 9.268
- symmetry = P-6m2, No. 187

Density functional theory data (PBE) for a relaxed structure of YTm3Pb2N2.

Lattice parameters (Å, degrees): 3.5126 3.5126 15.3826 90.00 90.00 120.00
Atoms (fractional coordinates):
Pb (0.6667, 0.3333, 0.2526)
Pb (0.3333, 0.6667, 0.7494)
Tm (0.6667, 0.3333, 0.5830)
Tm (0.3333, 0.6667, 0.4181)
Tm (0.6667, 0.3333, 0.9166)
Y (0.3333, 0.6667, 0.0844)
N (0.0000, 0.0000, 0.5005)
N (0.0000, 0.0000, 0.9954)

Calculated values
- energy (eV/atom) = -6.609
- calculated density (g cm⁻³) = 10.488
- symmetry = P3m1, No. 156

Density functional theory data (PBE) for a relaxed structure of YTmPbN.

Lattice parameters (Å, degrees): 3.5252 3.5252 15.4798 90.00 90.00 120.00
Atoms (fractional coordinates):
Y (0.3333, 0.6667, 0.3321)
Y (0.3333, 0.6667, 0.6679)
Pb (0.3333, 0.6667, 0.0000)
Pb (0.6667, 0.3333, 0.5000)
N (0.0000, 0.0000, 0.7562)
N (0.0000, 0.0000, 0.2438)
Tm (0.6667, 0.3333, 0.8344)
Tm (0.6667, 0.3333, 0.1656)

Calculated values
- energy (eV/atom) = -6.855
- calculated density (g cm⁻³) = 9.550
- symmetry = P-6m2, No. 187